No. 1
This record from the Alexandria database describes crystalline HfRePOs at its relaxed geometry. The functional is PBE-GGA.

Cell and atoms, written as POSCAR:
```
HfRePOs
1.0
3.098 0.000 0.000
0.000 2.092 4.899
0.000 -2.092 4.899
Hf Re P Os
1 1 1 1
direct
0.000 0.000 0.000
0.500 0.290 0.290
0.000 0.741 0.741
0.500 0.563 0.563
```

Results
* space group: Amm2 (38)
* offset from the most stable computed form: 58 kJ/mol of formula units
* volume: 63.5 Å³/cell
* energy: -9.977 eV per atom
* DFT formation energy: -0.2166 eV per atom



No. 2
This record from the Alexandria database describes crystalline Tb4Sm7Dy at its relaxed geometry. The functional is PBE-GGA.

Cell and atoms, written as POSCAR:
```
Tb4Sm7Dy
1.0
8.076 -2.981 0.000
8.076 2.981 0.000
-4.109 0.000 8.394
Tb Sm Dy
4 7 1
direct
0.073 0.073 0.199
0.173 0.173 0.889
0.827 0.827 0.111
0.927 0.927 0.801
0.000 0.000 0.500
0.288 0.288 0.621
0.291 0.291 0.270
0.418 0.418 0.058
0.582 0.582 0.942
0.709 0.709 0.730
0.712 0.712 0.379
0.500 0.500 0.500
```

Results
* space group: C2/m (12)
* offset from the most stable computed form: 250 kJ/mol of formula units
* volume: 404.1 Å³/cell
* energy: -4.458 eV per atom
* DFT formation energy: 0.2219 eV per atom



No. 3
This record from the Alexandria database describes crystalline NdGa3H12 at its relaxed geometry. The functional is PBE-GGA.

Cell and atoms, written as POSCAR:
```
NdGa3H12
1.0
8.847 0.000 0.000
-4.424 7.662 0.000
0.000 0.000 5.840
Nd Ga H
2 6 24
direct
0.333 0.667 0.250
0.667 0.333 0.750
0.089 0.372 0.750
0.283 0.911 0.750
0.372 0.283 0.250
0.628 0.717 0.750
0.717 0.089 0.250
0.911 0.628 0.250
0.004 0.171 0.750
0.040 0.547 0.250
0.166 0.996 0.750
0.171 0.166 0.250
0.214 0.463 0.532
0.214 0.463 0.968
0.249 0.786 0.532
0.249 0.786 0.968
0.453 0.493 0.250
0.463 0.249 0.032
0.463 0.249 0.468
0.493 0.040 0.750
0.507 0.960 0.250
0.537 0.751 0.532
0.537 0.751 0.968
0.547 0.507 0.750
0.751 0.214 0.032
0.751 0.214 0.468
0.786 0.537 0.032
0.786 0.537 0.468
0.829 0.834 0.750
0.834 0.004 0.250
0.960 0.453 0.750
0.996 0.829 0.250
```

Results
* space group: P6_3/m (176)
* volume: 395.9 Å³/cell
* energy: -3.444 eV per atom



No. 4
This record from the Alexandria database describes crystalline In2AgSe at its relaxed geometry. The functional is PBE-GGA.

Cell and atoms, written as POSCAR:
```
In2AgSe
1.0
3.786 0.000 0.000
0.000 4.992 0.000
0.000 0.000 5.052
In Ag Se
2 1 1
direct
0.000 0.000 0.000
0.000 0.500 0.500
0.500 0.000 0.500
0.500 0.500 0.000
```

Results
* space group: Pmmm (47)
* ΔE_f (raw): -0.148 eV per formula unit
* volume: 95.5 Å³/cell
* energy: -2.990 eV per atom



No. 5
This record from the Alexandria database describes crystalline Ba2CdTc at its relaxed geometry. The functional is PBE-GGA.

Cell and atoms, written as POSCAR:
```
Ba2CdTc
1.0
0.000 4.063 4.063
4.063 0.000 4.063
4.063 4.063 0.000
Ba Cd Tc
2 1 1
direct
0.250 0.250 0.250
0.750 0.750 0.750
0.000 0.000 0.000
0.500 0.500 0.500
```

Results
* space group: Fm-3m (225)
* offset from the most stable computed form: 54 kJ/mol of formula units
* volume: 134.2 Å³/cell
* energy: -3.194 eV per atom
* DFT formation energy: 0.5879 eV per atom



No. 6
This record from the Alexandria database describes crystalline LaIn at its relaxed geometry. The functional is PBE-GGA.

Cell and atoms, written as POSCAR:
```
LaIn
1.0
3.666 0.000 0.000
-1.833 3.175 0.000
0.000 0.000 10.908
La In
2 2
direct
0.333 0.667 0.143
0.667 0.333 0.857
0.333 0.667 0.607
0.667 0.333 0.393
```

Results
* space group: P-3m1 (164)
* volume: 127.0 Å³/cell
* energy: -3.973 eV per atom
* DFT formation energy: -0.1405 eV per atom



No. 7
This record from the Alexandria database describes crystalline CdAsAu2 at its relaxed geometry. The functional is PBE-GGA.

Cell and atoms, written as POSCAR:
```
CdAsAu2
1.0
3.695 0.000 0.000
0.000 3.695 0.000
0.000 0.000 5.773
Cd As Au
1 1 2
direct
0.000 0.000 0.000
0.500 0.500 0.317
0.000 0.000 0.493
0.500 0.500 0.784
```

Results
* space group: P4mm (99)
* offset from the most stable computed form: 15 kJ/mol of formula units
* volume: 78.8 Å³/cell
* energy: -2.982 eV per atom
* DFT formation energy: 0.0474 eV per atom



No. 8
This record from the Alexandria database describes crystalline Li2CuRh at its relaxed geometry. The functional is PBE-GGA.

Cell and atoms, written as POSCAR:
```
Li2CuRh
1.0
4.660 -1.461 0.000
4.660 1.461 0.000
-1.913 0.000 3.804
Li Cu Rh
2 1 1
direct
0.243 0.243 0.244
0.757 0.757 0.756
0.500 0.500 0.000
0.000 0.000 0.500
```

Results
* space group: C2/m (12)
* offset from the most stable computed form: 0 kJ/mol of formula units
* volume: 51.8 Å³/cell
* energy: -3.947 eV per atom
* DFT formation energy: -0.1277 eV per atom



No. 9
This record from the Alexandria database describes crystalline Y2Ge2Bi at its relaxed geometry. The functional is PBE-GGA.

Cell and atoms, written as POSCAR:
```
Y2Ge2Bi
1.0
-1.961 1.961 8.330
1.961 -1.961 8.330
1.961 1.961 -8.330
Y Ge Bi
2 2 1
direct
0.113 0.113 0.000
0.887 0.887 0.000
0.250 0.750 0.500
0.750 0.250 0.500
0.500 0.500 0.000
```

Results
* space group: I4/mmm (139)
* offset from the most stable computed form: 28 kJ/mol of formula units
* volume: 128.2 Å³/cell
* energy: -5.827 eV per atom
* DFT formation energy: -0.6179 eV per atom



No. 10
This record from the Alexandria database describes crystalline V2TeSe2 at its relaxed geometry. The functional is PBE-GGA.

Cell and atoms, written as POSCAR:
```
V2TeSe2
1.0
3.201 0.000 0.000
0.000 11.118 0.000
0.000 0.000 6.930
V Te Se
4 2 4
direct
0.250 0.062 0.112
0.250 0.438 0.112
0.750 0.562 0.888
0.750 0.938 0.888
0.250 0.750 0.752
0.750 0.250 0.248
0.250 0.085 0.761
0.250 0.415 0.761
0.750 0.585 0.239
0.750 0.915 0.239
```

Results
* space group: Pmmn (59)
* offset from the most stable computed form: 0 kJ/mol of formula units
* ΔE_f (raw): -2.351 eV per formula unit
* volume: 246.7 Å³/cell
* energy: -6.140 eV per atom